(1)
LaSnGe2 (PBE, relaxed); E_form = -0.28 eV per atom; calculated total energy = -38.549 eV/cell; space group = I-42d (122)
1.0
-3.904 3.904 3.462
3.904 -3.904 3.462
3.904 3.904 -3.462
La Sn Ge
2 2 4
Cartesian
0.000 0.000 0.000
0.000 3.904 1.731
3.904 0.000 1.731
0.000 0.000 3.462
1.952 -1.669 2.597
2.235 1.952 0.866
1.952 5.573 -0.866
1.669 1.952 4.328

***

(2)
La3Sn2Ge (PBE, relaxed); E_form = -0.73 eV per atom; calculated total energy = -127.239 eV/cell; space group = Pnma (62)
1.0
13.074 0.000 0.000
0.000 4.545 0.000
0.000 0.000 12.527
La Sn Ge
12 8 4
Cartesian
0.704 1.136 1.470
1.494 3.408 6.900
3.004 1.136 9.884
3.533 3.408 3.620
5.043 1.136 0.636
5.833 3.408 7.734
7.240 1.136 4.794
8.031 3.408 11.891
9.541 1.136 8.907
10.070 3.408 2.644
11.580 1.136 5.627
12.370 3.408 11.057
0.041 3.408 3.746
2.536 3.408 0.035
4.001 1.136 6.299
6.496 1.136 10.009
6.578 3.408 2.518
9.073 3.408 6.228
10.538 1.136 12.492
13.033 1.136 8.781
1.651 1.136 4.627
4.885 3.408 10.890
8.188 1.136 1.637
11.422 3.408 7.900